[1]
DFT (PBE-GGA) results for an optimized crystal structure of Ba2MgScO5.

Unit cell a=3.7151 b=13.9542 c=10.9502 alpha=90.00 beta=90.00 gamma=90.00
Space group Cmc2_1 (No. 36)
Unique sites:
Ba 0.0000 0.1103 0.0000
Ba 0.0000 0.1340 0.6195
Mg 0.0000 0.2168 0.3319
Sc 0.0000 0.4645 0.7898
O 0.0000 0.0578 0.3581
O 0.0000 0.2904 0.9438
O 0.0000 0.3117 0.7306
O 0.0000 0.3747 0.3190
O 0.0000 0.4956 0.6129

Properties
Raw formation energy = -2.585 eV per atom
Electronic total energy = -6.647 eV per atom
Magnetic moment = 0.117 μB/atom

[2]
DFT (PBE-GGA) results for an optimized crystal structure of BaMg3Se4O12.

Unit cell a=10.8209 b=10.8209 c=8.3467 alpha=90.00 beta=90.00 gamma=120.00
Space group R32 (No. 155, hexagonal axes)
Unique sites:
Ba 0.0000 0.0000 0.0000
Mg 0.0000 0.5788 0.0000
Se 0.0000 0.0000 0.5000
Se 0.0000 0.3972 0.5000
O 0.0000 0.5578 0.5000
O 0.0000 0.8283 0.5000
O 0.0536 0.2021 0.2179

Properties
Raw formation energy = -1.262 eV per atom
Electronic total energy = -5.269 eV per atom
D(E_F) = 7.55 states/eV/f.u.
Magnetic moment = 0.000 μB/atom

[3]
DFT (PBE-GGA) results for an optimized crystal structure of BaMgSeO4.

Unit cell a=8.7175 b=8.7175 c=8.7175 alpha=90.00 beta=90.00 gamma=90.00
Space group F-43m (No. 216)
Unique sites:
Ba 0.0000 0.0000 0.0000
Mg 0.2500 0.2500 0.7500
Se 0.0000 0.0000 0.5000
O 0.1247 0.1247 0.6247

Properties
Raw formation energy = -1.412 eV per atom
Electronic total energy = -5.246 eV per atom
Magnetic moment = 0.000 μB/atom

[4]
DFT (PBE-GGA) results for an optimized crystal structure of Ba2MgSeO6.

Unit cell a=8.0743 b=8.0743 c=8.0743 alpha=90.00 beta=90.00 gamma=90.00
Space group Fm-3m (No. 225)
Unique sites:
Ba 0.2500 0.2500 0.2500
Mg 0.0000 0.0000 0.0000
Se 0.0000 0.0000 0.5000
O 0.0000 0.0000 0.2693

Properties
Raw formation energy = -1.991 eV per atom
Electronic total energy = -5.858 eV per atom
Magnetic moment = 0.000 μB/atom

[5]
DFT (PBE-GGA) results for an optimized crystal structure of BaMg6SiO8.

Unit cell a=4.6790 b=4.6790 c=9.0047 alpha=90.00 beta=90.00 gamma=90.00
Space group P4/mmm (No. 123)
Unique sites:
Ba 0.0000 0.0000 0.0000
Mg 0.0000 0.0000 0.5000
Mg 0.0000 0.5000 0.2724
Mg 0.5000 0.5000 0.5000
Si 0.5000 0.5000 0.0000
O 0.0000 0.0000 0.2836
O 0.0000 0.5000 0.0000
O 0.0000 0.5000 0.5000
O 0.5000 0.5000 0.2674

Properties
Raw formation energy = -2.051 eV per atom
Electronic total energy = -5.587 eV per atom
E above lowest polymorph = 0.0000 eV per atom
Magnetic moment = 0.000 μB/atom

[6]
DFT (PBE-GGA) results for an optimized crystal structure of BaMg6SiO8.

Unit cell a=4.7955 b=4.7955 c=8.6277 alpha=90.00 beta=90.00 gamma=90.00
Space group P4/mmm (No. 123)
Unique sites:
Ba 0.0000 0.0000 0.0000
Mg 0.0000 0.5000 0.2650
Mg 0.5000 0.5000 0.0000
Mg 0.5000 0.5000 0.5000
Si 0.0000 0.0000 0.5000
O 0.0000 0.0000 0.2894
O 0.0000 0.5000 0.0000
O 0.0000 0.5000 0.5000
O 0.5000 0.5000 0.2516

Properties
Raw formation energy = -2.029 eV per atom
Electronic total energy = -5.565 eV per atom
E above lowest polymorph = 0.0218 eV per atom
D(E_F) = 1.67 states/eV/f.u.
Magnetic moment = 0.000 μB/atom